# Li6Fe3CoP6O24 | Alexandria via LeMat-Bulk | GGA+U | optimized geometry
# E_tot	-6.70	eV/atom
# volume	11.66	A^3/atom
data_Li6Fe3CoP6O24
_chemical_formula_sum 'Li6 Fe3 Co1 P6 O24'
_cell_length_a 8.406
_cell_length_b 8.447
_cell_length_c 8.973
_cell_angle_alpha 90.57
_cell_angle_beta 117.42
_cell_angle_gamma 119.81
_symmetry_space_group_name_H-M 'P 1'
_symmetry_Int_Tables_number 1
_symmetry_space_group_name_Hall 'P 1'
loop_
_atom_site_label
_atom_site_type_symbol
_atom_site_fract_x
_atom_site_fract_y
_atom_site_fract_z
Li1 Li 0.000 0.000 0.000
Li2 Li 0.018 0.850 0.507
Li3 Li 0.128 0.245 0.760
Li4 Li 0.259 0.618 0.009
Li5 Li 0.575 0.068 0.502
Li6 Li 0.618 0.357 0.006
Fe1 Fe 0.483 0.422 0.295
Fe2 Fe 0.496 0.923 0.809
Fe3 Fe 0.895 0.132 0.404
Co1 Co 0.884 0.622 0.895
P1 P 0.400 0.027 0.104
P2 P 0.403 0.238 0.612
P3 P 0.689 0.730 0.103
P4 P 0.696 0.818 0.610
P5 P 0.981 0.313 0.099
P6 P 0.984 0.525 0.608
O1 O 0.045 0.383 0.595
O2 O 0.167 0.737 0.654
O3 O 0.176 0.144 0.591
O4 O 0.205 0.408 0.117
O5 O 0.218 0.815 0.052
O6 O 0.322 0.156 0.117
O7 O 0.393 0.274 0.442
O8 O 0.463 0.089 0.644
O9 O 0.472 0.074 0.970
O10 O 0.506 0.753 0.969
O11 O 0.527 0.797 0.647
O12 O 0.563 0.420 0.774
O13 O 0.575 0.525 0.116
O14 O 0.588 0.668 0.438
O15 O 0.596 0.074 0.288
O16 O 0.782 0.480 0.436
O17 O 0.814 0.024 0.591
O18 O 0.826 0.882 0.286
O19 O 0.827 0.113 0.955
O20 O 0.848 0.760 0.047
O21 O 0.882 0.816 0.768
O22 O 0.901 0.446 0.052
O23 O 0.946 0.502 0.766
O24 O 0.999 0.282 0.273